A plane-wave DFT calculation with PBE was carried out for a relaxed structure of Pm7GaSi2.

Results
Size of the total moment   1.3 μB per cell
ρ   6.54 g cm⁻³
V   29.0 A^3/atom
Formation energy from raw total energies   -304 meV/atom
Calculated total energy   -5.017 eV per atom

Unit cell a=4.962 b=4.962 c=12.276 alpha=101.66 beta=101.66 gamma=90.00
Positions (direct):
Pm 0.100 0.600 0.200
Pm 0.400 0.900 0.800
Pm 0.250 0.750 0.500
Pm 0.600 0.100 0.200
Pm 0.900 0.400 0.800
Pm 0.750 0.250 0.500
Pm 0.500 0.500 0.000
Si 0.675 0.675 0.351
Si 0.325 0.325 0.649
Ga 0.000 0.000 0.000

---

A plane-wave DFT calculation with PBE was carried out for a relaxed structure of LaMoN3.

Results
Size of the total moment   0.0 μB per cell
ρ   5.45 g cm⁻³
V   16.9 A^3/atom
Formation energy from raw total energies   -778 meV/atom
Calculated total energy   -8.925 eV per atom

Unit cell a=19.006 b=5.389 c=7.099 alpha=90.00 beta=152.33 gamma=90.00
Positions (direct):
La 0.635 0.236 0.186
La 0.135 0.264 0.686
La 0.365 0.764 0.814
La 0.865 0.736 0.314
Mo 0.980 0.754 0.046
Mo 0.520 0.254 0.454
Mo 0.020 0.246 0.954
Mo 0.480 0.746 0.546
N 0.988 0.307 0.625
N 0.888 0.080 0.841
N 0.612 0.580 0.659
N 0.155 0.449 0.400
N 0.845 0.551 0.600
N 0.655 0.051 0.900
N 0.112 0.920 0.159
N 0.488 0.193 0.125
N 0.345 0.949 0.100
N 0.012 0.693 0.375
N 0.388 0.420 0.341
N 0.512 0.807 0.875

---

A plane-wave DFT calculation with PBE was carried out for a relaxed structure of TmVNi4.

Results
Size of the total moment   2.4 μB per cell
ρ   9.22 g cm⁻³
V   13.6 A^3/atom
Relative energy among the computed polymorphs   0.0 meV per atom
DFT formation energy   -215 meV per atom
Calculated total energy   -6.334 eV per atom

Unit cell a=4.874 b=4.874 c=4.874 alpha=60.00 beta=60.00 gamma=60.00
Positions (direct):
Ni 0.624 0.624 0.128
Ni 0.624 0.624 0.624
Ni 0.624 0.128 0.624
Ni 0.128 0.624 0.624
V 0.250 0.250 0.250
Tm 0.000 0.000 0.000

---

A plane-wave DFT calculation with PBE was carried out for a relaxed structure of TiMo3Cl.

Results
Size of the total moment   0.0 μB per cell
ρ   6.06 g cm⁻³
V   20.4 A^3/atom
Formation energy from raw total energies   1876 meV/atom
Relative energy among the computed polymorphs   987.8 meV per atom
Calculated total energy   -6.571 eV per atom

Unit cell a=4.669 b=4.669 c=4.669 alpha=90.00 beta=90.00 gamma=90.00
Positions (direct):
Mo 0.000 0.000 0.500
Mo 0.000 0.500 0.000
Mo 0.500 0.000 0.000
Cl 0.500 0.500 0.500
Ti 0.000 0.000 0.000